Entry 1:
Below is a relaxed CeSnBiO6 crystal, with properties calculated at the GGA-PBE level.

Cell and atoms, written as extended XYZ:
```
18
Lattice="5.0613 0.0000 0.0000 0.0000 5.0613 0.0000 0.0000 0.0000 10.4743" Properties=species:S:1:pos:R:3 pbc="T T T"
O 1.0405 4.0207 8.7317
O 1.5816 1.5816 10.3654
O 4.0207 1.0405 8.7317
O 3.4688 3.4688 7.0944
O 1.4901 1.4901 3.4945
O 0.9382 4.1231 1.8572
O 0.9490 4.1123 5.1282
O 4.1231 0.9382 1.8572
O 4.1123 0.9490 5.1282
O 3.4797 3.4797 10.3654
O 1.5925 1.5925 7.0944
O 3.5712 3.5712 3.4945
Bi 2.5306 2.5306 1.7536
Bi 0.0000 0.0000 6.9907
Sn 0.0000 0.0000 3.4979
Sn 2.5306 2.5306 8.7350
Ce 2.5306 2.5306 5.2113
Ce 0.0000 0.0000 10.4484
```

Results
space-group type: P4_2nm (102)

***

Entry 2:
Below is a relaxed SrCeBiO2 crystal, with properties calculated at the GGA-PBE level.

Cell and atoms, written as extended XYZ:
```
5
Lattice="-2.8139 2.8073 0.5351 -1.6356 -0.9662 -3.5322 -1.9508 -5.7251 4.7463" Properties=species:S:1:pos:R:3 pbc="T T T"
O -2.8164 -2.7827 -0.2117
O -3.4055 -0.8959 1.8220
Ce -1.4361 -1.6524 1.1170
Sr -5.0620 -2.3440 0.7082
Bi -2.3055 0.8276 -1.4357
```

Results
space-group type: I4mm (107)

***

no.,D(E_F) (states/eV per cell),total energy (eV per atom)
1,6.5,-6.769
2,2.9,-6.707